An optimized crystal structure of Sr2Cu2F7. Source: Alexandria, functional PBE.

Computed properties:
As for the formation energy without anion corrections: -2819 kJ/mol of formula units. As for the calculated total energy: -4.8972 eV per atom. For the total magnetization, the calculation gives 1.00 μB per cell. The density is 4.2 Mg/m³.

Cell lengths 5.7560, 5.1343, 5.8224 Å; angles 86.95, 91.33, 92.71 degrees
Fractional positions:
Cu (0.2152, 0.0016, 0.7344)
Cu (0.7848, 0.9984, 0.2656)
F (0.9985, 0.2472, 0.5664)
F (0.3525, 0.6896, 0.8874)
F (0.6475, 0.3104, 0.1126)
F (0.4713, 0.2330, 0.5876)
F (0.0000, 0.0000, 0.0000)
F (0.0015, 0.7528, 0.4336)
F (0.5287, 0.7670, 0.4124)
Sr (0.7341, 0.5511, 0.7373)
Sr (0.2659, 0.4489, 0.2627)